A relaxed VSeI crystal, computed with PBE-GGA.

As for the crystal system: trigonal. For the size of the total moment, the calculation gives 0.6667 μB/atom. The symmetry is P3m1. The value obtained for the formation energy without anion corrections is -526 meV/atom. The volume is 86.7 Å³/cell. The total energy comes out at -15.732 eV per cell.

Cell and atoms, written as POSCAR:
```
VSeI
1.0
3.855 0.000 0.000
-1.927 3.338 0.000
0.000 0.000 6.737
V I Se
1 1 1
Cartesian
1.927 1.113 2.478
0.000 0.000 0.655
0.000 2.226 3.604
```



A relaxed VSeI3 crystal, computed with PBE-GGA.

As for the crystal system: monoclinic. For the size of the total moment, the calculation gives 0.0869 μB/atom. The symmetry is C2/m. The value obtained for the formation energy without anion corrections is -336 meV/atom. The volume is 392.8 Å³/cell. The total energy comes out at -37.865 eV per cell.

Cell and atoms, written as POSCAR:
```
VSeI3
1.0
8.068 -0.001 1.650
-2.208 7.760 -1.650
-1.837 -4.705 6.625
V I Se
2 6 2
Cartesian
1.769 4.756 1.422
2.254 -1.702 5.203
0.267 2.507 1.283
0.007 -0.005 5.242
5.729 -0.944 2.932
3.756 0.546 5.342
4.016 3.059 1.383
-1.706 3.998 3.693
2.104 -1.589 2.847
1.919 4.643 3.778
```



A relaxed VSe4I crystal, computed with PBE-GGA.

As for the crystal system: monoclinic. For the size of the total moment, the calculation gives 0.0000 μB/atom. The symmetry is C2/c. The value obtained for the formation energy without anion corrections is -390 meV/atom. The volume is 377.6 Å³/cell. The total energy comes out at -53.889 eV per cell.

Cell and atoms, written as POSCAR:
```
VSe4I
1.0
-2.618 5.146 2.595
-4.215 -5.835 3.433
6.783 -0.617 4.163
V Se I
2 8 2
Cartesian
-6.178 -1.975 5.380
6.128 0.669 4.812
-0.081 2.370 2.939
-3.837 -2.246 4.416
2.359 3.883 6.214
0.737 -0.145 8.682
0.031 -3.676 7.252
-2.409 -5.189 3.978
-0.787 -1.161 1.509
3.787 0.940 5.775
-0.762 0.594 5.739
0.712 -1.900 4.452
```



A relaxed V3SeI crystal, computed with PBE-GGA.

Its energy above the most stable polymorph in this dataset is 3.415 eV/f.u. As for the crystal system: cubic. For the size of the total moment, the calculation gives 2.3398 μB/atom. The symmetry is Pm-3m. The value obtained for the formation energy without anion corrections is 1481 meV/atom. The volume is 138.3 Å³/cell. The total energy comes out at -24.986 eV per cell.

Cell and atoms, written as POSCAR:
```
V3SeI
1.0
5.171 0.000 0.000
0.000 5.171 0.000
0.000 0.000 5.171
V I Se
3 1 1
Cartesian
0.000 0.000 2.586
0.000 2.586 0.000
2.586 0.000 0.000
0.000 0.000 0.000
2.586 2.586 2.586
```



A relaxed V4Se8I crystal, computed with PBE-GGA.

As for the crystal system: trigonal. For the size of the total moment, the calculation gives 0.1687 μB/atom. The symmetry is R-3m. The value obtained for the formation energy without anion corrections is -614 meV/atom. The volume is 347.9 Å³/cell. The total energy comes out at -73.879 eV per cell.

Cell and atoms, written as POSCAR:
```
V4Se8I
1.0
6.318 0.000 2.126
2.801 5.663 2.126
0.212 0.131 9.822
V Se I
4 8 1
Cartesian
3.159 0.000 1.063
1.401 2.832 1.063
0.000 0.000 0.000
4.560 2.832 2.126
2.233 1.387 9.059
6.789 4.216 11.179
7.098 4.408 5.015
2.543 1.579 2.895
3.629 4.208 10.118
5.702 1.587 3.956
5.381 1.387 10.118
3.951 4.408 3.956
4.666 2.897 7.037
```



A relaxed VSeI crystal, computed with PBE-GGA.

As for the crystal system: monoclinic. For the size of the total moment, the calculation gives 0.6669 μB/atom. The symmetry is P2_1/m. The value obtained for the formation energy without anion corrections is -615 meV/atom. The volume is 178.9 Å³/cell. The total energy comes out at -31.998 eV per cell.

Cell and atoms, written as POSCAR:
```
VSeI
1.0
-3.013 -0.261 -2.300
0.794 -6.392 -0.316
-4.387 -0.578 5.813
V I Se
2 2 2
Cartesian
-3.796 -5.617 0.902
-2.810 -1.615 2.295
-3.407 -4.257 3.377
-3.198 -2.974 -0.180
-1.296 -6.004 0.810
-5.310 -1.227 2.388
```



A relaxed VSeI3 crystal, computed with PBE-GGA.

As for the crystal system: cubic. For the size of the total moment, the calculation gives 0.6566 μB/atom. The symmetry is Pm-3m. The value obtained for the formation energy without anion corrections is 735 meV/atom. The volume is 192.4 Å³/cell. The total energy comes out at -13.578 eV per cell.

Cell and atoms, written as POSCAR:
```
VSeI3
1.0
5.773 0.000 0.000
0.000 5.773 0.000
0.000 0.000 5.773
Se I V
1 3 1
Cartesian
0.000 0.000 0.000
2.886 0.000 0.000
0.000 2.886 0.000
0.000 0.000 2.886
2.886 2.886 2.886
```



A relaxed V3SeI crystal, computed with PBE-GGA.

Its energy above the most stable polymorph in this dataset is 0.000 eV/f.u. As for the crystal system: cubic. For the size of the total moment, the calculation gives 1.2603 μB/atom. The symmetry is Pm-3m. The value obtained for the formation energy without anion corrections is 798 meV/atom. The volume is 103.8 Å³/cell. The total energy comes out at -28.402 eV per cell.

Cell and atoms, written as POSCAR:
```
V3SeI
1.0
-1.284 -4.198 1.679
1.762 1.143 4.204
-4.164 1.778 1.261
V Se I
3 1 1
Cartesian
-0.642 -2.099 0.840
0.881 0.572 2.102
-2.082 0.889 0.631
0.000 0.000 0.000
-1.843 -0.638 3.573
```



A relaxed ZrV2SeI crystal, computed with PBE-GGA.

As for the crystal system: tetragonal. For the size of the total moment, the calculation gives 0.9854 μB/atom. The symmetry is P4/mmm. The value obtained for the formation energy without anion corrections is 542 meV/atom. The volume is 114.6 Å³/cell. The total energy comes out at -29.111 eV per cell.

Cell and atoms, written as POSCAR:
```
ZrV2SeI
1.0
-0.032 -1.089 4.584
-2.093 -4.104 -0.990
4.624 -2.238 -0.499
I Se Zr V
1 1 1 2
Cartesian
1.249 -3.715 1.547
0.000 0.000 0.000
2.312 -1.119 -0.250
-0.016 -0.545 2.292
-1.046 -2.052 -0.495
```



A relaxed WSe2I2 crystal, computed with PBE-GGA.

Its energy above the most stable polymorph in this dataset is 3.718 eV/f.u. As for the crystal system: tetragonal. For the size of the total moment, the calculation gives 0.7631 μB/atom. The symmetry is I4/mmm. The value obtained for the formation energy without anion corrections is 1138 meV/atom. The volume is 175.2 Å³/cell. The total energy comes out at -17.332 eV per cell.

Cell and atoms, written as POSCAR:
```
WSe2I2
1.0
4.207 0.000 0.000
0.000 4.207 0.000
2.103 2.103 9.903
W Se I
1 2 2
Cartesian
0.000 0.000 0.000
4.207 4.207 8.728
2.103 2.103 1.175
4.207 2.103 4.951
2.103 4.207 4.951
```



A relaxed WSe2I2 crystal, computed with PBE-GGA.

Its energy above the most stable polymorph in this dataset is 0.000 eV/f.u. As for the crystal system: tetragonal. For the size of the total moment, the calculation gives 0.3812 μB/atom. The symmetry is P4/mbm. The value obtained for the formation energy without anion corrections is 394 meV/atom. The volume is 353.8 Å³/cell. The total energy comes out at -42.100 eV per cell.

Cell and atoms, written as POSCAR:
```
WSe2I2
1.0
6.479 0.000 0.000
0.000 6.479 0.000
0.000 0.000 8.430
Se W I
4 2 4
Cartesian
0.984 2.255 0.000
2.255 5.495 0.000
5.495 4.223 0.000
4.223 0.984 0.000
0.000 0.000 0.000
3.239 3.239 0.000
1.036 4.275 4.215
4.275 5.443 4.215
5.443 2.204 4.215
2.204 1.036 4.215
```



A relaxed WSeI2 crystal, computed with PBE-GGA.

Its energy above the most stable polymorph in this dataset is 1.346 eV/f.u. As for the crystal system: triclinic. For the size of the total moment, the calculation gives 0.0000 μB/atom. The symmetry is P1. The value obtained for the formation energy without anion corrections is 85 meV/atom. The volume is 150.5 Å³/cell. The total energy comes out at -19.200 eV per cell.

Cell and atoms, written as POSCAR:
```
WSeI2
1.0
3.516 0.000 0.001
-0.047 6.943 0.006
-0.050 -3.227 6.162
W I Se
1 2 1
Cartesian
1.193 0.979 4.583
1.244 2.786 0.584
2.951 3.061 4.674
2.952 0.010 3.127
```



A relaxed WSeI2 crystal, computed with PBE-GGA.

Its energy above the most stable polymorph in this dataset is 6.065 eV/f.u. As for the crystal system: cubic. For the size of the total moment, the calculation gives 0.0000 μB/atom. The symmetry is Fm-3m. The value obtained for the formation energy without anion corrections is 1264 meV/atom. The volume is 89.5 Å³/cell. The total energy comes out at -14.481 eV per cell.

Cell and atoms, written as POSCAR:
```
WSeI2
1.0
-2.634 -3.882 1.789
-3.790 0.797 3.195
-4.738 -0.721 -1.496
I Se W
2 1 1
Cartesian
-2.791 -0.951 0.872
-8.372 -2.854 2.616
0.000 0.000 0.000
-5.581 -1.903 1.744
```



A relaxed WSeI2 crystal, computed with PBE-GGA.

Its energy above the most stable polymorph in this dataset is 0.016 eV/f.u. As for the crystal system: monoclinic. For the size of the total moment, the calculation gives 0.0000 μB/atom. The symmetry is C2/m. The value obtained for the formation energy without anion corrections is -248 meV/atom. The volume is 545.5 Å³/cell. The total energy comes out at -82.119 eV per cell.

Cell and atoms, written as POSCAR:
```
WSeI2
1.0
-1.401 1.064 -9.270
2.906 -1.722 -0.637
-7.760 -15.096 5.410
W Se I
4 4 8
Cartesian
-3.212 -3.970 -3.919
-0.617 -3.375 -2.963
-5.950 -10.062 0.060
-5.639 -12.378 -1.533
-7.138 -12.234 0.515
-4.451 -10.206 -1.987
-2.024 -1.797 -4.374
-1.805 -5.547 -2.509
-4.730 -6.397 -4.283
-2.167 -4.697 -6.457
-1.662 -2.647 -0.425
-7.499 -11.384 -3.434
-7.157 -14.806 -1.896
0.902 -0.947 -2.600
-4.089 -11.056 1.961
-4.431 -7.634 0.424
```



A relaxed WSeI3 crystal, computed with PBE-GGA.

Its energy above the most stable polymorph in this dataset is 3.204 eV/f.u. As for the crystal system: cubic. For the size of the total moment, the calculation gives 1.0071 μB/atom. The symmetry is Pm-3m. The value obtained for the formation energy without anion corrections is 1441 meV/atom. The volume is 186.6 Å³/cell. The total energy comes out at -13.883 eV per cell.

Cell and atoms, written as POSCAR:
```
WSeI3
1.0
5.714 0.000 0.000
0.000 5.714 0.000
0.000 0.000 5.714
I W Se
3 1 1
Cartesian
2.857 0.000 0.000
0.000 0.000 2.857
0.000 2.857 0.000
2.857 2.857 2.857
0.000 0.000 0.000
```



A relaxed W2Se4I3 crystal, computed with PBE-GGA.

As for the crystal system: monoclinic. For the size of the total moment, the calculation gives 0.0000 μB/atom. The symmetry is C2/c. The value obtained for the formation energy without anion corrections is -180 meV/atom. The volume is 636.1 Å³/cell. The total energy comes out at -92.237 eV per cell.

Cell and atoms, written as POSCAR:
```
W2Se4I3
1.0
6.473 0.251 0.180
0.261 10.469 0.720
0.261 4.055 9.679
I Se W
6 8 4
Cartesian
5.582 1.898 2.440
2.346 2.796 0.920
1.413 12.877 8.138
1.879 7.290 5.292
5.116 7.484 5.286
4.649 11.979 9.658
1.233 4.172 3.877
6.069 8.137 9.093
0.926 6.638 1.485
2.833 11.105 4.683
4.163 3.670 5.895
4.469 5.140 2.790
2.526 9.635 7.788
5.763 10.603 6.702
3.687 11.791 6.829
6.545 4.636 1.706
0.450 10.138 8.872
3.308 2.984 3.750
```



A relaxed WSeI crystal, computed with PBE-GGA.

As for the crystal system: monoclinic. For the size of the total moment, the calculation gives 0.0000 μB/atom. The symmetry is C2/m. The value obtained for the formation energy without anion corrections is -72 meV/atom. The volume is 209.0 Å³/cell. The total energy comes out at -36.406 eV per cell.

Cell and atoms, written as POSCAR:
```
WSeI
1.0
-3.099 1.306 1.286
-3.931 -3.448 -5.974
0.967 -6.437 3.826
W Se I
2 2 2
Cartesian
-3.990 -3.552 -0.968
-2.074 -5.027 0.106
-1.553 -2.797 -0.902
-4.511 -5.782 0.040
-5.044 -3.693 -3.365
-1.020 -4.886 2.503
```



A relaxed WSeI crystal, computed with PBE-GGA.

As for the crystal system: triclinic. For the size of the total moment, the calculation gives 0.0000 μB/atom. The symmetry is P-1. The value obtained for the formation energy without anion corrections is -211 meV/atom. The volume is 166.6 Å³/cell. The total energy comes out at -37.239 eV per cell.

Cell and atoms, written as POSCAR:
```
WSeI
1.0
-1.114 -1.625 2.981
-0.810 -7.316 -2.239
7.050 1.339 -0.920
W I Se
2 2 2
Cartesian
3.773 -4.331 0.775
-0.782 -5.174 0.757
2.916 -4.947 -2.022
1.189 -2.933 0.573
4.644 -1.992 0.234
-0.539 -5.888 -1.682
```



A relaxed WSeI2 crystal, computed with PBE-GGA.

Its energy above the most stable polymorph in this dataset is 0.297 eV/f.u. As for the crystal system: monoclinic. For the size of the total moment, the calculation gives 0.0000 μB/atom. The symmetry is C2/m. The value obtained for the formation energy without anion corrections is -178 meV/atom. The volume is 530.2 Å³/cell. The total energy comes out at -80.995 eV per cell.

Cell and atoms, written as POSCAR:
```
WSeI2
1.0
-3.758 3.876 -8.013
-1.939 -2.772 -0.431
-10.640 5.743 10.939
I Se W
8 4 4
Cartesian
-11.599 7.616 3.212
-2.799 2.003 -0.287
-7.199 4.809 1.463
-5.320 2.871 5.469
-9.089 3.489 4.967
-0.970 -1.386 -0.216
-7.249 3.359 -2.473
-2.849 0.552 -4.222
-5.185 1.169 2.321
-4.862 4.193 -5.081
-9.536 5.426 8.006
-11.152 5.678 0.173
-13.159 6.958 0.967
-3.179 -0.111 1.527
-7.529 4.146 7.212
-6.869 5.473 -4.287
```



A relaxed WSeI2 crystal, computed with PBE-GGA.

Its energy above the most stable polymorph in this dataset is 1.599 eV/f.u. As for the crystal system: monoclinic. For the size of the total moment, the calculation gives 0.0000 μB/atom. The symmetry is Cm. The value obtained for the formation energy without anion corrections is 148 meV/atom. The volume is 260.7 Å³/cell. The total energy comes out at -37.894 eV per cell.

Cell and atoms, written as POSCAR:
```
WSeI2
1.0
3.629 0.000 -0.001
0.000 5.497 0.000
-2.971 0.000 13.070
I Se W
4 2 2
Cartesian
-0.556 0.000 6.380
-2.041 2.748 12.915
1.262 2.748 8.010
2.747 0.000 1.475
0.930 2.748 3.683
-0.555 0.000 10.218
1.260 0.000 8.568
2.745 2.748 2.033
```